Compound: Ca2Al2O5
Source: Alexandria
Functional: PBE
Structure: relaxed

Cell: 5.571 5.571 5.678 Å, 106.47 106.47 39.70°
Element x y z (fractional)
Ca 0.114 0.114 0.327
Ca 0.886 0.886 0.673
Al 0.351 0.351 0.117
Al 0.649 0.649 0.883
O 0.168 0.168 0.938
O 0.352 0.352 0.430
O 0.500 0.500 0.000
O 0.648 0.648 0.570
O 0.832 0.832 0.062

## Properties
Formation energy from raw total energies (eV per atom): -2.923
Crystal system: monoclinic
Uncorrected energy (eV/cell): -62.59
SG: C2/m (12)
Relative energy among the computed polymorphs (meV/atom): 102

***

Compound: CaAlOsO6
Source: Alexandria
Functional: PBE
Structure: relaxed

Cell: 5.055 5.055 10.155 Å, 90.00 90.00 120.00°
Element x y z (fractional)
Ca 0.000 0.000 0.000
Ca 0.000 0.000 0.500
Al 0.333 0.667 0.250
Al 0.667 0.333 0.750
Os 0.333 0.667 0.750
Os 0.667 0.333 0.250
O 0.001 0.372 0.647
O 0.001 0.629 0.853
O 0.371 0.372 0.853
O 0.371 0.999 0.647
O 0.372 0.001 0.147
O 0.372 0.371 0.353
O 0.628 0.629 0.647
O 0.628 0.999 0.853
O 0.629 0.001 0.353
O 0.629 0.628 0.147
O 0.999 0.371 0.147
O 0.999 0.628 0.353

## Properties
Formation energy from raw total energies (eV per atom): -2.000
Crystal system: trigonal
Uncorrected energy (eV/cell): -129.44
SG: P-31c (163)